Entry 1:
{"formula": "TlZnInS3", "functional": "PBE", "state": "relaxed", "cell": [[8.786, 0.000, 0.000], [0.000, 3.834, 0.000], [-2.555, 0.000, 9.099]], "species": ["Tl", "Tl", "Zn", "Zn", "In", "In", "S", "S", "S", "S", "S", "S"], "fractional_positions": [[0.205, 0.250, 0.238], [0.795, 0.750, 0.762], [0.089, 0.250, 0.604], [0.911, 0.750, 0.396], [0.341, 0.750, 0.880], [0.659, 0.250, 0.120], [0.134, 0.250, 0.861], [0.195, 0.750, 0.520], [0.468, 0.750, 0.163], [0.532, 0.250, 0.837], [0.805, 0.250, 0.480], [0.866, 0.750, 0.139]], "space_group": "P2_1/m"}

***

Entry 2:
{"formula": "PtBrCl2", "functional": "PBE", "state": "relaxed", "cell": [[3.143, 0.000, 0.000], [0.000, 3.143, 0.000], [0.000, 0.000, 10.603]], "species": ["Pt", "Br", "Cl", "Cl"], "fractional_positions": [[0.000, 0.000, 0.000], [0.000, 0.000, 0.500], [0.500, 0.500, 0.148], [0.500, 0.500, 0.852]], "space_group": "P4/mmm", "e_above_lowest_polymorph_mev_per_atom": 749}

***

Entry 3:
{"formula": "LiNb5", "functional": "PBE", "state": "relaxed", "cell": [[2.298, -6.827, 0.000], [2.298, 6.827, 0.000], [0.000, 0.000, 3.381]], "species": ["Li", "Nb", "Nb", "Nb", "Nb", "Nb"], "fractional_positions": [[0.000, 0.000, 0.000], [0.168, 0.832, 0.500], [0.337, 0.663, 0.000], [0.500, 0.500, 0.500], [0.663, 0.337, 0.000], [0.832, 0.168, 0.500]], "space_group": "Cmmm", "ef_ev_per_atom": 0.187}

***

Entry 4:
{"formula": "Pu2ScTiAs4", "functional": "PBE", "state": "relaxed", "cell": [[6.800, 0.000, 0.000], [0.000, 3.958, 0.000], [-2.299, 0.000, 6.478]], "species": ["Pu", "Pu", "Sc", "Ti", "As", "As", "As", "As"], "fractional_positions": [[0.000, 0.000, 0.000], [0.000, 0.500, 0.500], [0.500, 0.000, 0.500], [0.500, 0.500, 0.000], [0.270, 0.500, 0.249], [0.274, 0.000, 0.765], [0.726, 0.000, 0.235], [0.730, 0.500, 0.751]], "space_group": "P2/m", "ef_ev_per_atom": -1.064}

***

Number 1: total energy -3.6930 eV/atom. Number 2: total energy -2.3836 eV/atom. Number 3: total energy -8.5230 eV/atom. Number 4: total energy -8.7498 eV/atom.